Compound: KLi2MnCl6
Source: Alexandria
Functional: PBE
Structure: relaxed

Structure (CIF):
```
data_KLi2MnCl6
_chemical_formula_sum 'K1 Li2 Mn1 Cl6'
_symmetry_space_group_name_H-M 'P 1'
_symmetry_Int_Tables_number 1
_symmetry_space_group_name_Hall 'P 1'
_cell_length_a 6.4336
_cell_length_b 6.7352
_cell_length_c 6.9765
_cell_angle_alpha 88.59
_cell_angle_beta 67.64
_cell_angle_gamma 65.04
loop_
_atom_site_label
_atom_site_type_symbol
_atom_site_fract_x
_atom_site_fract_y
_atom_site_fract_z
K1 K 0.0000 0.0000 0.0000
Li1 Li 0.5156 0.8014 0.2011
Li2 Li 0.5480 0.1788 0.6254
Mn1 Mn 0.9742 0.5290 0.5488
Cl1 Cl 0.1207 0.7693 0.3715
Cl2 Cl 0.1551 0.5188 0.7773
Cl3 Cl 0.4434 0.1499 0.3385
Cl4 Cl 0.5693 0.8821 0.8307
Cl5 Cl 0.7962 0.3147 0.7315
Cl6 Cl 0.8220 0.5055 0.3071
```

* formation energy (no corrections): -1.4749 eV/atom
* DFT total energy: -3.9923 eV/atom